## La2Sm8Sc3 (GGA-PBE)

Data for a geometry-optimized La2Sm8Sc3 structure.

**Density**: 6.4 g/cm3
**ΔH_f (0 K)**: 229.1 kJ/mol of formula units
**Total magnetization**: 0.00 μB/cell

abc: 8.7978 8.7978 5.9876
angles: 107.40 107.40 81.48
Atoms (fractional coordinates):
La: 0.1822 0.1822 0.3425
La: 0.8178 0.8178 0.6575
Sm: 0.0817 0.0817 0.7771
Sm: 0.1111 0.5815 0.3496
Sm: 0.3638 0.3638 0.8902
Sm: 0.4185 0.8889 0.6504
Sm: 0.5815 0.1111 0.3496
Sm: 0.6362 0.6362 0.1098
Sm: 0.8889 0.4185 0.6504
Sm: 0.9183 0.9183 0.2229
Sc: 0.2414 0.7586 0.0000
Sc: 0.5000 0.5000 0.5000
Sc: 0.7586 0.2414 0.0000